Density functional theory data (PBE-GGA) for Cu2H4Pd3 after structural relaxation.

Geometry as CIF:
```
data_Cu2H4Pd3
_chemical_formula_sum 'Cu4 H8 Pd6'
_cell_length_a 9.1339
_cell_length_b 2.8834
_cell_length_c 6.4737
_cell_angle_alpha 90.00
_cell_angle_beta 102.63
_cell_angle_gamma 90.00
_space_group_name_H-M_alt 'C 1 2/m 1'
_space_group_IT_number 12
_space_group_name_Hall '-C 2y'
loop_
_atom_site_label
_atom_site_fract_x
_atom_site_fract_y
_atom_site_fract_z
Cu1 0.1923 0.0000 0.3153
H1 0.1345 0.0000 0.5788
H2 0.1583 0.5000 0.0672
Pd1 0.0000 0.5000 0.5000
Pd2 0.1164 0.0000 0.8901
```

Computed properties:
**Crystal system**: monoclinic
**Electronic total energy**: -74.420 eV per cell
**Excess energy over the best structure of this formula in the dataset**: 0.43 eV/f.u.